Record 1
Computed, not measured: an optimized crystal structure of LaBe2Br at the PBE level of DFT.

Results
final energy	-13.73	eV per cell
symmetry	P4mm, No. 99
energy relative to the lowest polymorph listed for this composition	235	meV per atom
E_form (uncorrected)	80	meV/atom

Cell: 3.387 3.387 7.048 Å, 90.00 90.00 90.00°
Sites, in units of the cell vectors:
La1 0.000 0.000 0.000
Be1 0.000 0.000 0.384
Be2 0.500 0.500 0.287
Br1 0.500 0.500 0.694

Record 2
Computed, not measured: an optimized crystal structure of LaBeBr at the PBE level of DFT.

Results
final energy	-10.72	eV per cell
symmetry	P-6m2, No. 187
energy relative to the lowest polymorph listed for this composition	31	meV per atom
E_form (uncorrected)	-131	meV/atom

Cell: 4.742 4.742 3.555 Å, 90.00 90.00 120.00°
Sites, in units of the cell vectors:
La1 0.000 0.000 0.000
Be1 0.333 0.667 0.500
Br1 0.667 0.333 0.500

Record 3
Computed, not measured: an optimized crystal structure of LaBe4Br at the PBE level of DFT.

Results
final energy	-18.50	eV per cell
symmetry	F-43m, No. 216
E_form (uncorrected)	501	meV/atom

Cell: 5.369 5.369 5.369 Å, 60.00 60.00 60.00°
Sites, in units of the cell vectors:
La1 0.000 0.000 0.000
Be1 0.049 0.650 0.650
Be2 0.650 0.049 0.650
Be3 0.650 0.650 0.049
Be4 0.650 0.650 0.650
Br1 0.250 0.250 0.250